# 1
Below is a geometry-optimized Pa3Si4Ir structure, with properties calculated at the GGA-PBE level.

Total energy ... -7.864 eV per atom
Energy relative to the elements, uncorrected ... -0.483 eV per atom

a = 4.300 Å, b = 5.994 Å, c = 13.088 Å
α = 90.00°, β = 90.00°, γ = 90.00°
Space group Immm (No. 71)
Unique sites:
Pa: 0.000 0.000 0.000 x2
Pa: 0.000 0.500 0.173 x4
Si: 0.000 0.299 0.374 x8
Ir: 0.000 0.000 0.500 x2

=====

# 2
Below is a geometry-optimized BaAlN2 structure, with properties calculated at the GGA-PBE level.

Total energy ... -6.167 eV per atom
Energy relative to the elements, uncorrected ... -0.588 eV per atom

a = 5.157 Å, b = 5.157 Å, c = 10.265 Å
α = 90.00°, β = 90.00°, γ = 90.00°
Space group I-42d (No. 122)
Unique sites:
Ba: 0.000 0.000 0.000 x4
Al: 0.000 0.000 0.500 x4
N: 0.069 0.250 0.625 x8

=====

# 3
Below is a geometry-optimized PmPRuN structure, with properties calculated at the GGA-PBE level.

Total energy ... -8.085 eV per atom
Energy relative to the elements, uncorrected ... -1.144 eV per atom

a = 3.965 Å, b = 3.965 Å, c = 7.892 Å
α = 90.00°, β = 90.00°, γ = 90.00°
Space group P4/nmm (No. 129, origin choice 2)
Unique sites:
Pm: 0.250 0.250 0.167 x2
P: 0.250 0.250 0.652 x2
Ru: 0.250 0.750 0.500 x2
N: 0.250 0.250 0.866 x2

=====

# 4
Below is a geometry-optimized CeGa3Pt2 structure, with properties calculated at the GGA-PBE level.

Total energy ... -5.334 eV per atom
E_form ... -0.8183 eV per atom

a = 16.752 Å, b = 4.209 Å, c = 10.003 Å
α = 90.00°, β = 106.12°, γ = 90.00°
Space group C2/m (No. 12)
Unique sites:
Ce: 0.000 0.000 0.000 x2
Ce: 0.156 0.000 0.706 x4
Ga: 0.000 0.500 0.500 x2
Ga: 0.043 0.000 0.363 x4
Ga: 0.133 0.500 0.191 x4
Ga: 0.161 0.500 0.948 x4
Ga: 0.216 0.000 0.381 x4
Pt: 0.017 0.500 0.780 x4
Pt: 0.142 0.500 0.451 x4
Pt: 0.201 0.000 0.115 x4